[1]
# Na2MgCr2S6, optimized geometry, DFT PBE
data_Na2MgCr2S6
_chemical_formula_sum 'Na4 Mg2 Cr4 S12'
_cell_length_a 6.039
_cell_length_b 10.637
_cell_length_c 7.034
_cell_angle_alpha 90.00
_cell_angle_beta 105.78
_cell_angle_gamma 90.00
_symmetry_space_group_name_H-M 'C 1 2/m 1'
_symmetry_Int_Tables_number 12
_symmetry_space_group_name_Hall '-C 2y'
loop_
_atom_site_label
_atom_site_fract_x
_atom_site_fract_y
_atom_site_fract_z
Na1 0.000 0.160 0.000
Mg1 0.000 0.000 0.500
Cr1 0.000 0.335 0.500
S1 0.201 0.500 0.703
S2 0.242 0.182 0.699
# E_form (uncorrected), eV/atom: -0.867
# Calculated volume, Å³/cell: 434.83
# Uncorrected energy, eV/atom: -5.25
# M_tot, μB per cell: 8.3

=====

[2]
# Tb2HoErO6, optimized geometry, DFT PBE
data_Tb2HoErO6
_chemical_formula_sum 'Tb6 Ho3 Er3 O18'
_cell_length_a 5.8084
_cell_length_b 5.8084
_cell_length_c 15.1511
_cell_angle_alpha 90.00
_cell_angle_beta 90.00
_cell_angle_gamma 120.00
_symmetry_space_group_name_H-M 'R 3'
_symmetry_Int_Tables_number 146
_symmetry_space_group_name_Hall 'R 3'
loop_
_atom_site_label
_atom_site_fract_x
_atom_site_fract_y
_atom_site_fract_z
Tb1 0.0000 0.0000 0.0000
Tb2 0.0000 0.0000 0.4997
Ho1 0.0000 0.0000 0.2171
Er1 0.0000 0.0000 0.7165
O1 0.0448 0.3696 0.7769
O2 0.0453 0.6737 0.2772
# E_form (uncorrected), eV/atom: -3.546
# Calculated volume, Å³/cell: 442.68
# Uncorrected energy, eV/atom: -8.36
# M_tot, μB per cell: 0.0

=====

[3]
# NbVC3, optimized geometry, DFT PBE
data_NbVC3
_chemical_formula_sum 'Nb1 V1 C3'
_cell_length_a 4.132
_cell_length_b 4.132
_cell_length_c 4.132
_cell_angle_alpha 90.00
_cell_angle_beta 90.00
_cell_angle_gamma 90.00
_symmetry_space_group_name_H-M 'P m -3 m'
_symmetry_Int_Tables_number 221
_symmetry_space_group_name_Hall '-P 4 2 3'
loop_
_atom_site_label
_atom_site_fract_x
_atom_site_fract_y
_atom_site_fract_z
Nb1 0.000 0.000 0.000
V1 0.500 0.500 0.500
C1 0.000 0.000 0.500
# ΔE_f, eV per atom: 1.956
# Calculated volume, Å³/cell: 70.52
# Uncorrected energy, eV/atom: -7.42
# Distance to the lowest polymorph of the same formula, eV per atom: 0.5411
# M_tot, μB per cell: 3.1

=====

[4]
# TiPO4F2, optimized geometry, DFT PBE
data_TiPO4F2
_chemical_formula_sum 'Ti2 P2 O8 F4'
_cell_length_a 5.446
_cell_length_b 7.551
_cell_length_c 6.012
_cell_angle_alpha 90.00
_cell_angle_beta 90.00
_cell_angle_gamma 90.00
_symmetry_space_group_name_H-M 'P m n 21'
_symmetry_Int_Tables_number 31
_symmetry_space_group_name_Hall 'P 2ac -2'
loop_
_atom_site_label
_atom_site_fract_x
_atom_site_fract_y
_atom_site_fract_z
Ti1 0.000 0.235 0.000
P1 0.000 0.617 0.292
O1 0.000 0.455 0.127
O2 0.000 0.550 0.537
O3 0.241 0.718 0.260
F1 0.232 0.110 0.139
# E_form (uncorrected), eV/atom: -2.321
# Calculated volume, Å³/cell: 247.21
# Uncorrected energy, eV/atom: -6.93
# M_tot, μB per cell: 2.0

=====

[5]
# CeTl5Pd, optimized geometry, DFT PBE
data_CeTl5Pd
_chemical_formula_sum 'Ce1 Tl5 Pd1'
_cell_length_a 4.901
_cell_length_b 4.901
_cell_length_c 7.742
_cell_angle_alpha 90.00
_cell_angle_beta 90.00
_cell_angle_gamma 90.00
_symmetry_space_group_name_H-M 'P 4/m m m'
_symmetry_Int_Tables_number 123
_symmetry_space_group_name_Hall '-P 4 2'
loop_
_atom_site_label
_atom_site_fract_x
_atom_site_fract_y
_atom_site_fract_z
Ce1 0.000 0.000 0.000
Tl1 0.000 0.500 0.297
Tl2 0.500 0.500 0.000
Pd1 0.000 0.000 0.500
# ΔE_f, eV per atom: -0.208
# Calculated volume, Å³/cell: 185.94
# Uncorrected energy, eV/atom: -3.49
# M_tot, μB per cell: 0.9

=====

[6]
# Tb5TlCu4, optimized geometry, DFT PBE
data_Tb5TlCu4
_chemical_formula_sum 'Tb5 Tl1 Cu4'
_cell_length_a 3.501
_cell_length_b 3.501
_cell_length_c 18.322
_cell_angle_alpha 90.00
_cell_angle_beta 90.00
_cell_angle_gamma 90.00
_symmetry_space_group_name_H-M 'P 4/m m m'
_symmetry_Int_Tables_number 123
_symmetry_space_group_name_Hall '-P 4 2'
loop_
_atom_site_label
_atom_site_fract_x
_atom_site_fract_y
_atom_site_fract_z
Tb1 0.000 0.000 0.000
Tb2 0.000 0.000 0.190
Tb3 0.000 0.000 0.379
Tl1 0.500 0.500 0.500
Cu1 0.500 0.500 0.095
Cu2 0.500 0.500 0.285
# ΔE_f, eV per atom: -0.252
# Calculated volume, Å³/cell: 224.52
# Uncorrected energy, eV/atom: -4.44
# M_tot, μB per cell: 0.0

=====

[7]
# PmTm15In4, optimized geometry, DFT PBE
data_PmTm15In4
_chemical_formula_sum 'Pm1 Tm15 In4'
_cell_length_a 4.800
_cell_length_b 4.800
_cell_length_c 24.400
_cell_angle_alpha 90.00
_cell_angle_beta 90.00
_cell_angle_gamma 90.00
_symmetry_space_group_name_H-M 'P 4/m m m'
_symmetry_Int_Tables_number 123
_symmetry_space_group_name_Hall '-P 4 2'
loop_
_atom_site_label
_atom_site_fract_x
_atom_site_fract_y
_atom_site_fract_z
Pm1 0.000 0.000 0.000
Tm1 0.000 0.500 0.106
Tm2 0.000 0.500 0.304
Tm3 0.000 0.500 0.500
Tm4 0.500 0.500 0.000
Tm5 0.500 0.500 0.206
Tm6 0.500 0.500 0.402
In1 0.000 0.000 0.207
In2 0.000 0.000 0.402
# ΔE_f, eV per atom: -0.193
# Calculated volume, Å³/cell: 562.25
# Uncorrected energy, eV/atom: -4.33
# M_tot, μB per cell: 0.0